The following is a DFT calculation (PBE) of a geometry-optimized Nd6Sb3SeS2 structure.

## Properties
SG   No. 12

The structure in POSCAR format:
```
Nd6Sb3SeS2
1.0
3.760 -6.496 0.000
3.760 6.496 0.000
-2.505 0.000 7.058
Nd Sb Se S
6 3 1 2
Direct
0.082 0.423 0.768 Nd
0.236 0.236 0.229 Nd
0.423 0.082 0.768 Nd
0.577 0.918 0.232 Nd
0.764 0.764 0.771 Nd
0.918 0.577 0.232 Nd
0.000 0.000 0.500 Sb
0.336 0.664 0.500 Sb
0.664 0.336 0.500 Sb
0.500 0.500 0.000 Se
0.167 0.833 0.000 S
0.833 0.167 0.000 S
```

=====

The following is a DFT calculation (PBE) of a geometry-optimized CaEr3S6 structure.

## Properties
SG   No. 11

The structure in POSCAR format:
```
CaEr3S6
1.0
10.983 0.000 0.000
0.000 3.945 0.000
-3.545 0.000 10.776
Ca Er S
2 6 12
Direct
0.048 0.250 0.195 Ca
0.952 0.750 0.805 Ca
0.160 0.250 0.585 Er
0.312 0.750 0.000 Er
0.439 0.250 0.332 Er
0.561 0.750 0.668 Er
0.688 0.250 0.000 Er
0.840 0.750 0.415 Er
0.084 0.750 0.410 S
0.120 0.250 0.958 S
0.205 0.750 0.750 S
0.266 0.750 0.231 S
0.395 0.250 0.558 S
0.474 0.250 0.110 S
0.526 0.750 0.890 S
0.605 0.750 0.442 S
0.734 0.250 0.769 S
0.795 0.250 0.250 S
0.880 0.750 0.042 S
0.916 0.250 0.590 S
```

=====

The following is a DFT calculation (PBE) of a geometry-optimized TbNdTm2Au4 structure.

## Properties
SG   No. 166
ΔE_f   -0.84 eV/atom

The structure in POSCAR format:
```
TbNdTm2Au4
1.0
2.545 1.469 8.424
-2.545 1.469 8.424
0.000 -2.938 8.424
Tb Nd Tm Au
1 1 2 4
Direct
0.000 0.000 0.000 Tb
0.500 0.500 0.500 Nd
0.251 0.251 0.251 Tm
0.749 0.749 0.749 Tm
0.120 0.120 0.120 Au
0.373 0.373 0.373 Au
0.627 0.627 0.627 Au
0.880 0.880 0.880 Au
```

=====

The following is a DFT calculation (PBE) of a geometry-optimized FeSi2Os structure.

## Properties
SG   No. 65

The structure in POSCAR format:
```
FeSi2Os
1.0
2.844 0.000 0.000
0.000 4.807 0.000
0.000 0.000 7.580
Fe Si Os
2 4 2
Direct
0.000 0.000 0.000 Fe
0.500 0.500 0.000 Fe
0.000 0.500 0.236 Si
0.000 0.500 0.764 Si
0.500 0.000 0.236 Si
0.500 0.000 0.764 Si
0.000 0.000 0.500 Os
0.500 0.500 0.500 Os
```

=====

no.,total energy (eV per atom),spin magnetization (μB/f.u.),V (Å³/cell)
1,-5.944,0.000,344.8
2,-5.929,0.000,466.9
3,-4.770,0.000,189.0
4,-7.615,0.890,103.6